Sr2PrAgS4: relaxed, PBE-GGA.

Unit cell a=7.1906 b=4.2073 c=7.2407 alpha=90.00 beta=110.08 gamma=90.00
Space group P2/m (No. 10)
Inequivalent atoms, fractional coordinates:
Sr 0.0000 0.0000 0.0000 [1 per cell]
Sr 0.5000 0.5000 0.0000 [1 per cell]
Pr 0.0000 0.5000 0.5000 [1 per cell]
Ag 0.5000 0.0000 0.5000 [1 per cell]
S 0.2387 0.0000 0.7420 [2 per cell]
S 0.2504 0.5000 0.2635 [2 per cell]

Output
Its size of the total moment is 0.0 μB/cell. The value obtained for the total DFT energy (no corrections) is -0.1871 hartree per atom. Its raw formation energy is -1.65 eV per atom. The theoretical density is 4.46 g cm⁻³.